[1]
# CaBAs2O6 | Alexandria via LeMat-Bulk | PBE | relaxed
# - ΔE_f (raw) (eV per atom) = -1.804
# - E_tot (eV/cell) = -131.5
# - N(E_F) (states/eV/cell) = 4.7
# - magnetic moment (μB/f.u.) = 0.00
data_CaBAs2O6
_chemical_formula_sum 'Ca2 B2 As4 O12'
_symmetry_space_group_name_H-M 'P 1'
_symmetry_Int_Tables_number 1
_cell_length_a 5.497
_cell_length_b 7.658
_cell_length_c 7.658
_cell_angle_alpha 121.05
_cell_angle_beta 83.44
_cell_angle_gamma 83.44
loop_
_symmetry_equiv_pos_as_xyz
'x,y,z'
loop_
_atom_site_label
_atom_site_fract_x
_atom_site_fract_y
_atom_site_fract_z
O1 0.812 0.993 0.301
O2 0.345 0.183 0.311
O3 0.486 0.218 0.668
O4 0.014 0.332 0.782
O5 0.155 0.689 0.817
O6 0.514 0.782 0.332
O7 0.188 0.007 0.699
O8 0.845 0.311 0.183
O9 0.312 0.301 0.993
O10 0.655 0.817 0.689
O11 0.986 0.668 0.218
O12 0.688 0.699 0.007
B1 0.750 0.779 0.221
B2 0.250 0.221 0.779
As1 0.590 0.238 0.442
As2 0.910 0.558 0.762
As3 0.410 0.762 0.558
As4 0.090 0.442 0.238
Ca1 0.750 0.141 0.859
Ca2 0.250 0.859 0.141

***

[2]
# ZrSiN2O | Alexandria via LeMat-Bulk | PBE | relaxed
# - ΔE_f (raw) (eV per atom) = 0.146
# - E_tot (eV/cell) = -34.9
# - N(E_F) (states/eV/cell) = 2.5
# - magnetic moment (μB/f.u.) = 1.95
data_ZrSiN2O
_chemical_formula_sum 'Zr1 Si1 N2 O1'
_symmetry_space_group_name_H-M 'P 1'
_symmetry_Int_Tables_number 1
_cell_length_a 4.289
_cell_length_b 4.289
_cell_length_c 4.102
_cell_angle_alpha 90.00
_cell_angle_beta 90.00
_cell_angle_gamma 90.00
loop_
_symmetry_equiv_pos_as_xyz
'x,y,z'
loop_
_atom_site_label
_atom_site_fract_x
_atom_site_fract_y
_atom_site_fract_z
Si1 0.500 0.500 0.500
Zr1 0.000 0.000 0.000
O1 0.000 0.000 0.500
N1 0.000 0.500 0.000
N2 0.500 0.000 0.000